A geometry-optimized Zr2AgWC structure. Source: the Alexandria database, functional GGA-PBE.

Results
Energy of formation   1098.6 meV/atom
Total magnetization   0.000 μB/f.u.
Space group   No. 123

a = 5.160 Å, b = 4.054 Å, c = 5.160 Å
α = 90.00°, β = 90.00°, γ = 90.00°
Fractional coordinates of all 5 atoms:
Zr: 0.000 0.000 0.500
Zr: 0.500 0.000 0.000
Ag: 0.500 0.500 0.500
W: 0.000 0.000 0.000
C: 0.000 0.500 0.000

***

A geometry-optimized Ce6SO8 structure. Source: the Alexandria database, functional GGA-PBE.

Results
E_form (uncorrected)   -3174.5 meV/atom
Total magnetization   6.092 μB/f.u.
Space group   No. 148

a = 6.716 Å, b = 6.716 Å, c = 7.415 Å
α = 63.07°, β = 63.07°, γ = 60.00°
Site moments in Bohr magnetons follow the coordinates.
Fractional coordinates of all 15 atoms:
O: 0.876 0.555 0.363  -0.02
O: 0.668 0.668 0.996  -0.04
O: 0.332 0.332 0.004  -0.04
O: 0.794 0.124 0.637  -0.02
O: 0.206 0.876 0.363  -0.02
O: 0.445 0.794 0.637  -0.02
O: 0.555 0.206 0.363  -0.02
O: 0.124 0.445 0.637  -0.02
Ce: 0.084 0.740 0.741  0.88
Ce: 0.740 0.434 0.741  0.88
Ce: 0.916 0.260 0.259  0.88
Ce: 0.434 0.084 0.741  0.88
Ce: 0.566 0.916 0.259  0.88
Ce: 0.260 0.566 0.259  0.88
S: 0.000 0.000 0.000  -0.04

***

A geometry-optimized LiSm4Tm4O12 structure. Source: the Alexandria database, functional GGA-PBE.

Results
Excess energy over the best structure of this formula in the dataset   2 meV per atom
E_form (uncorrected)   -3237.9 meV/atom
Total magnetization   1.003 μB/f.u.
Space group   No. 1

a = 5.758 Å, b = 6.032 Å, c = 8.492 Å
α = 89.25°, β = 87.57°, γ = 88.53°
Site moments in Bohr magnetons follow the coordinates.
Fractional coordinates of all 21 atoms:
O: 0.637 0.056 0.749  0.00
O: 0.876 0.871 0.022  0.03
O: 0.132 0.432 0.237  0.00
O: 0.205 0.207 0.584  0.01
O: 0.313 0.691 0.563  0.00
O: 0.708 0.298 0.443  0.00
O: 0.663 0.300 0.088  0.01
O: 0.362 0.937 0.255  0.00
O: 0.207 0.203 0.932  0.00
O: 0.306 0.670 0.922  0.01
O: 0.809 0.799 0.411  0.00
O: 0.851 0.564 0.750  0.00
Sm: 0.023 0.953 0.765  0.02
Sm: 0.500 0.556 0.302  0.28
Sm: 0.468 0.427 0.738  0.01
Sm: 0.982 0.061 0.239  0.01
Tm: 0.944 0.516 0.000  0.11
Tm: 0.506 0.998 0.503  0.03
Tm: 0.998 0.502 0.504  0.03
Tm: 0.507 0.962 0.002  0.11
Li: 0.359 0.394 0.054  0.00

***

A geometry-optimized TiNbC structure. Source: the Alexandria database, functional GGA-PBE.

Results
Excess energy over the best structure of this formula in the dataset   414 meV per atom
Energy of formation   -120.2 meV/atom
Total magnetization   0.000 μB/f.u.
Space group   No. 8

a = 3.034 Å, b = 3.043 Å, c = 5.492 Å
α = 105.64°, β = 90.00°, γ = 119.89°
Fractional coordinates of all 3 atoms:
C: 0.294 0.587 0.633
Ti: 0.549 0.099 0.395
Nb: 0.716 0.433 0.912

***

A geometry-optimized V4Ga structure. Source: the Alexandria database, functional GGA-PBE.

Results
Excess energy over the best structure of this formula in the dataset   370 meV per atom
Energy of formation   647.1 meV/atom
Total magnetization   0.000 μB/f.u.
Space group   No. 139

a = 4.554 Å, b = 4.554 Å, c = 4.915 Å
α = 62.40°, β = 62.41°, γ = 90.00°
Fractional coordinates of all 5 atoms:
V: 0.662 0.662 0.677
V: 0.250 0.750 0.500
V: 0.338 0.338 0.323
V: 0.750 0.250 0.500
Ga: 0.000 0.000 0.000

***

A geometry-optimized Y3Ho3Mg structure. Source: the Alexandria database, functional GGA-PBE.

Results
Excess energy over the best structure of this formula in the dataset   84 meV per atom
Energy of formation   102.2 meV/atom
Total magnetization   1.178 μB/f.u.
Space group   No. 148

a = 6.172 Å, b = 6.172 Å, c = 14.268 Å
α = 77.51°, β = 77.51°, γ = 60.00°
Site moments in Bohr magnetons follow the coordinates.
Fractional coordinates of all 14 atoms:
Mg: 0.667 0.667 0.000  0.00
Mg: 0.333 0.333 0.000  0.00
Y: 0.400 0.064 0.808  0.07
Y: 0.728 0.400 0.808  0.07
Y: 0.272 0.600 0.192  0.07
Y: 0.064 0.728 0.808  0.07
Y: 0.600 0.936 0.192  0.07
Y: 0.936 0.272 0.192  0.07
Ho: 0.200 0.868 0.397  0.20
Ho: 0.535 0.200 0.397  0.20
Ho: 0.465 0.800 0.603  0.20
Ho: 0.800 0.132 0.603  0.20
Ho: 0.868 0.535 0.397  0.20
Ho: 0.132 0.465 0.603  0.20

***

no.,Fermi-level density of states (states/eV/atom)
1,1.07
2,1.65
3,0.02
4,0.94
5,1.20
6,1.59